DFT (PBE) results for a relaxed LiPmInPd crystal.

It has space group F-43m (No. 216), with a = 6.9105 Å, b = 6.9105 Å, c = 6.9105 Å, α = 90.00°, β = 90.00° and γ = 90.00°. The inequivalent atoms are Li at (0.0000, 0.0000, 0.0000), Pm at (0.2500, 0.2500, 0.2500), In at (0.2500, 0.2500, 0.7500) and Pd at (0.0000, 0.0000, 0.5000).

The density of states at the Fermi level is 28.317 states/eV/cell. The uncorrected energy comes out at -4.2179 eV per atom.